First-principles (PBE) data for an optimized crystal structure of YFeRe2, as listed in Alexandria via LeMat-Bulk.

Computed properties:
Final energy, eV/atom: -9.665
E above lowest polymorph, eV/atom: 0.113
Space-group type: F-43m, No. 216
Magnetization, μB/f.u.: 1.87
Mass density, Mg/m³: 13.1
Calculated volume, Å³/cell: 65.7

Unit cell a=4.5283 b=4.5283 c=4.5283 alpha=60.00 beta=60.00 gamma=60.00
With the nearest neighbours (Å) after each atom.
Positions (direct):
1 Y 0.0000 0.0000 0.0000  4 Fe 2.77, 4 Re 2.77
2 Fe 0.7500 0.7500 0.7500  4 Re 2.77, 4 Y 2.77
3 Re 0.2500 0.2500 0.2500  4 Re 2.77, 4 Y 2.77
4 Re 0.5000 0.5000 0.5000  4 Fe 2.77, 4 Re 2.77